# ReWAu, relaxed, DFT PBE
# - Distance to the lowest polymorph of the same formula: 0 meV per atom
data_ReWAu
_chemical_formula_sum 'Re1 W1 Au1'
_cell_length_a 4.923
_cell_length_b 4.923
_cell_length_c 4.923
_cell_angle_alpha 148.15
_cell_angle_beta 129.31
_cell_angle_gamma 61.13
_symmetry_space_group_name_H-M 'P 1'
_symmetry_Int_Tables_number 1
loop_
_symmetry_equiv_pos_as_xyz
'x,y,z'
loop_
_atom_site_label
_atom_site_type_symbol
_atom_site_fract_x
_atom_site_fract_y
_atom_site_fract_z
_atom_site_occupancy
W1 W 0.332 0.332 0.000 1
Re1 Re 0.667 0.667 0.000 1
Au1 Au 0.001 0.001 0.000 1

=====

# ReWAu, relaxed, DFT PBE
# - Distance to the lowest polymorph of the same formula: 60 meV per atom
data_ReWAu
_chemical_formula_sum 'Re1 W1 Au1'
_cell_length_a 4.554
_cell_length_b 4.554
_cell_length_c 2.723
_cell_angle_alpha 90.00
_cell_angle_beta 90.00
_cell_angle_gamma 120.00
_symmetry_space_group_name_H-M 'P 1'
_symmetry_Int_Tables_number 1
loop_
_symmetry_equiv_pos_as_xyz
'x,y,z'
loop_
_atom_site_label
_atom_site_type_symbol
_atom_site_fract_x
_atom_site_fract_y
_atom_site_fract_z
_atom_site_occupancy
Re1 Re 0.333 0.667 0.388 1
Au1 Au 0.000 0.000 0.992 1
W1 W 0.667 0.333 0.620 1

=====

Compound: ReW4Au
Source: Alexandria
Functional: PBE
Structure: relaxed

```
data_ReW4Au
_chemical_formula_sum 'Re1 W4 Au1'
_cell_length_a 5.230
_cell_length_b 5.230
_cell_length_c 5.230
_cell_angle_alpha 60.00
_cell_angle_beta 60.00
_cell_angle_gamma 60.00
_symmetry_space_group_name_H-M 'P 1'
_symmetry_Int_Tables_number 1
loop_
_symmetry_equiv_pos_as_xyz
'x,y,z'
loop_
_atom_site_label
_atom_site_type_symbol
_atom_site_fract_x
_atom_site_fract_y
_atom_site_fract_z
_atom_site_occupancy
W1 W 0.376 0.376 0.872 1
W2 W 0.376 0.872 0.376 1
W3 W 0.872 0.376 0.376 1
W4 W 0.376 0.376 0.376 1
Au1 Au 0.750 0.750 0.750 1
Re1 Re 0.000 0.000 0.000 1
```

=====

# Re2WAu, relaxed, DFT PBE
# - Distance to the lowest polymorph of the same formula: 291 meV per atom
data_Re2WAu
_chemical_formula_sum 'Re2 W1 Au1'
_cell_length_a 4.486
_cell_length_b 4.486
_cell_length_c 4.486
_cell_angle_alpha 60.00
_cell_angle_beta 60.00
_cell_angle_gamma 60.00
_symmetry_space_group_name_H-M 'P 1'
_symmetry_Int_Tables_number 1
loop_
_symmetry_equiv_pos_as_xyz
'x,y,z'
loop_
_atom_site_label
_atom_site_type_symbol
_atom_site_fract_x
_atom_site_fract_y
_atom_site_fract_z
_atom_site_occupancy
Re1 Re 0.250 0.250 0.250 1
Re2 Re 0.750 0.750 0.750 1
W1 W 0.000 0.000 0.000 1
Au1 Au 0.500 0.500 0.500 1

=====

# ReWAu, relaxed, DFT PBE
# - Distance to the lowest polymorph of the same formula: 55 meV per atom
data_ReWAu
_chemical_formula_sum 'Re1 W1 Au1'
_cell_length_a 7.305
_cell_length_b 7.125
_cell_length_c 2.761
_cell_angle_alpha 82.65
_cell_angle_beta 75.33
_cell_angle_gamma 22.01
_symmetry_space_group_name_H-M 'P 1'
_symmetry_Int_Tables_number 1
loop_
_symmetry_equiv_pos_as_xyz
'x,y,z'
loop_
_atom_site_label
_atom_site_type_symbol
_atom_site_fract_x
_atom_site_fract_y
_atom_site_fract_z
_atom_site_occupancy
Au1 Au 0.001 0.001 0.999 1
Re1 Re 0.324 0.324 0.676 1
W1 W 0.675 0.675 0.325 1

=====

# Re2WAu, relaxed, DFT PBE
# - Distance to the lowest polymorph of the same formula: 206 meV per atom
data_Re2WAu
_chemical_formula_sum 'Re2 W1 Au1'
_cell_length_a 3.358
_cell_length_b 3.358
_cell_length_c 5.795
_cell_angle_alpha 90.00
_cell_angle_beta 90.00
_cell_angle_gamma 90.00
_symmetry_space_group_name_H-M 'P 1'
_symmetry_Int_Tables_number 1
loop_
_symmetry_equiv_pos_as_xyz
'x,y,z'
loop_
_atom_site_label
_atom_site_type_symbol
_atom_site_fract_x
_atom_site_fract_y
_atom_site_fract_z
_atom_site_occupancy
Au1 Au 0.500 0.500 0.751 1
W1 W 0.000 0.000 0.476 1
Re1 Re 0.500 0.500 0.242 1
Re2 Re 0.000 0.000 0.031 1

=====

# Re2WAu, relaxed, DFT PBE
# - Distance to the lowest polymorph of the same formula: 108 meV per atom
data_Re2WAu
_chemical_formula_sum 'Re2 W1 Au1'
_cell_length_a 9.399
_cell_length_b 9.399
_cell_length_c 9.399
_cell_angle_alpha 17.30
_cell_angle_beta 17.30
_cell_angle_gamma 17.30
_symmetry_space_group_name_H-M 'P 1'
_symmetry_Int_Tables_number 1
loop_
_symmetry_equiv_pos_as_xyz
'x,y,z'
loop_
_atom_site_label
_atom_site_type_symbol
_atom_site_fract_x
_atom_site_fract_y
_atom_site_fract_z
_atom_site_occupancy
Re1 Re 0.996 0.996 0.996 1
Re2 Re 0.504 0.504 0.504 1
W1 W 0.250 0.250 0.250 1
Au1 Au 0.750 0.750 0.750 1

=====

# Re2WAu, relaxed, DFT PBE
# - Distance to the lowest polymorph of the same formula: 54 meV per atom
data_Re2WAu
_chemical_formula_sum 'Re2 W1 Au1'
_cell_length_a 3.923
_cell_length_b 3.990
_cell_length_c 3.990
_cell_angle_alpha 90.00
_cell_angle_beta 90.00
_cell_angle_gamma 90.00
_symmetry_space_group_name_H-M 'P 1'
_symmetry_Int_Tables_number 1
loop_
_symmetry_equiv_pos_as_xyz
'x,y,z'
loop_
_atom_site_label
_atom_site_type_symbol
_atom_site_fract_x
_atom_site_fract_y
_atom_site_fract_z
_atom_site_occupancy
Re1 Re 0.000 0.500 0.500 1
Re2 Re 0.000 0.000 0.000 1
W1 W 0.500 0.500 0.000 1
Au1 Au 0.500 0.000 0.500 1

=====

In eV/atom, the formation energy values for the records above are, in order, 0.3410, 0.4011, 0.5267, 0.5265, 0.3963, 0.4415, 0.3430, 0.2890.
In eV for the cell shown, the total DFT energy (no corrections) values for the records above are, in order, -27.7, -27.5, -64.4, -39.0, -27.5, -39.4, -39.8, -40.0.